A plane-wave DFT calculation with PBE was carried out for crystalline Pr2SmZrP4 at its relaxed geometry.

N(E_F)	1.53	states/eV/f.u.
calculated formation energy	-11.8	eV/f.u.
calculated total energy	-0.5167	Ry per atom

Unit cell a=7.015 b=4.046 c=7.030 alpha=90.00 beta=109.20 gamma=90.00
Space group P2/m (No. 10)
Symmetry-distinct sites (fractional):
Pr 0.000 0.000 0.000 [1 per cell]
Pr 0.500 0.500 0.000 [1 per cell]
Sm 0.000 0.500 0.500 [1 per cell]
Zr 0.500 0.000 0.500 [1 per cell]
P 0.257 0.000 0.735 [2 per cell]
P 0.268 0.500 0.271 [2 per cell]